DFT (PBE-GGA) results for RbBa2NbTe after structural relaxation.

The structure in CIF format:
```
data_RbBa2NbTe
_cell_length_a 6.6168
_cell_length_b 6.6168
_cell_length_c 6.6109
_cell_angle_alpha 90.00
_cell_angle_beta 90.00
_cell_angle_gamma 90.00
_symmetry_space_group_name_H-M 'P 4/m m m'
_symmetry_Int_Tables_number 123
_symmetry_space_group_name_Hall '-P 4 2'
loop_
_atom_site_label
_atom_site_type_symbol
_atom_site_fract_x
_atom_site_fract_y
_atom_site_fract_z
_atom_site_occupancy
Rb1 Rb 0.0000 0.0000 0.0000 1
Ba1 Ba 0.0000 0.5000 0.5000 1
Nb1 Nb 0.5000 0.5000 0.0000 1
Te1 Te 0.0000 0.0000 0.5000 1
```

DOS at the Fermi energy in states/eV per cell: 2.059
ΔE_f (raw) in eV/atom: 0.39
Distance to the lowest polymorph of the same formula in meV/atom: 0
Calculated total energy in eV/f.u.: -16.1

=====

DFT (PBE-GGA) results for Cs2CuS after structural relaxation.

The structure in CIF format:
```
data_Cs2CuS
_cell_length_a 8.3647
_cell_length_b 8.3647
_cell_length_c 8.3647
_cell_angle_alpha 90.00
_cell_angle_beta 90.00
_cell_angle_gamma 90.00
_symmetry_space_group_name_H-M 'F m -3 m'
_symmetry_Int_Tables_number 225
_symmetry_space_group_name_Hall '-F 4 2 3'
loop_
_atom_site_label
_atom_site_type_symbol
_atom_site_fract_x
_atom_site_fract_y
_atom_site_fract_z
_atom_site_occupancy
Cs1 Cs 0.2500 0.2500 0.2500 1
Cu1 Cu 0.0000 0.0000 0.0000 1
S1 S 0.0000 0.0000 0.5000 1
```

DOS at the Fermi energy in states/eV per cell: 11.763
ΔE_f (raw) in eV/atom: -0.06
Calculated total energy in eV/f.u.: -10.2

=====

DFT (PBE-GGA) results for TaAl2Rh after structural relaxation.

The structure in CIF format:
```
data_TaAl2Rh
_cell_length_a 6.3107
_cell_length_b 6.3107
_cell_length_c 6.3107
_cell_angle_alpha 90.00
_cell_angle_beta 90.00
_cell_angle_gamma 90.00
_symmetry_space_group_name_H-M 'F -4 3 m'
_symmetry_Int_Tables_number 216
_symmetry_space_group_name_Hall 'F -4 2 3'
loop_
_atom_site_label
_atom_site_type_symbol
_atom_site_fract_x
_atom_site_fract_y
_atom_site_fract_z
_atom_site_occupancy
Ta1 Ta 0.0000 0.0000 0.0000 1
Al1 Al 0.0000 0.0000 0.5000 1
Al2 Al 0.2500 0.2500 0.2500 1
Rh1 Rh 0.2500 0.2500 0.7500 1
```

DOS at the Fermi energy in states/eV per cell: 13.792
Calculated formation energy in kJ per mole of atoms: -28.22
Calculated total energy in eV/f.u.: -27.9

=====

> Number 3 is which compound?

TaAl2Rh

=====

> What is the formula in the first record?

RbBa2NbTe

=====

> Which of these has the highest calculated total energy?

Cs2CuS

=====

> Which formula does entry 3 have?

TaAl2Rh